# BaCo2Au

A relaxed BaCo2Au crystal (PBE, Alexandria).

N(E_F) in states/eV/f.u.: 5.634
Formation energy from the elements in eV per formula unit: 1.98
E_tot in eV per cell: -17.43
Size of the total moment in μB per cell: 3.5

abc: 3.3854 3.6196 6.9430
angles: 90.00 90.00 90.00
Space group Pmmm (No. 47)
One atom of each set of equivalent atoms:
Ba 0.0000 0.0000 0.0000 [1 per cell]
Co 0.5000 0.5000 0.3428 [2 per cell]
Au 0.0000 0.0000 0.5000 [1 per cell]